(1)
The following is a DFT calculation (PBE-GGA) of a geometry-optimized ZnInOs structure.

Values from the calculation:
The total energy is -4.73 eV per atom. As for the energy above the most stable polymorph in this dataset: 0 kJ/mol of formula units.

Cell lengths 3.284, 3.284, 9.237 Å; angles 90.00, 90.00, 90.00 degrees
Space group I4mm (No. 107)
Inequivalent atoms, fractional coordinates:
Zn (0.000, 0.000, 0.000) (multiplicity 2)
In (0.000, 0.000, 0.308) (multiplicity 2)
Os (0.000, 0.000, 0.630) (multiplicity 2)



(2)
The following is a DFT calculation (PBE-GGA) of a geometry-optimized Zn2InOs structure.

Values from the calculation:
The total energy is -3.94 eV per atom.

Cell lengths 3.754, 3.971, 8.487 Å; angles 90.00, 90.00, 90.00 degrees
Space group Imm2 (No. 44)
Inequivalent atoms, fractional coordinates:
Zn (0.000, 0.000, 0.000) (multiplicity 2)
Zn (0.000, 0.500, 0.253) (multiplicity 2)
In (0.000, 0.500, 0.754) (multiplicity 2)
Os (0.000, 0.000, 0.508) (multiplicity 2)



(3)
The following is a DFT calculation (PBE-GGA) of a geometry-optimized Zn2InOs structure.

Values from the calculation:
The total energy is -3.75 eV per atom.

Cell lengths 6.373, 6.373, 6.373 Å; angles 90.00, 90.00, 90.00 degrees
Space group F-43m (No. 216)
Inequivalent atoms, fractional coordinates:
Zn (0.000, 0.000, 0.000) (multiplicity 4)
Zn (0.250, 0.250, 0.250) (multiplicity 4)
In (0.000, 0.000, 0.500) (multiplicity 4)
Os (0.250, 0.250, 0.750) (multiplicity 4)



(4)
The following is a DFT calculation (PBE-GGA) of a geometry-optimized ZnInOs2 structure.

Values from the calculation:
The total energy is -6.08 eV per atom.

Cell lengths 2.920, 4.555, 4.785 Å; angles 90.00, 90.00, 90.00 degrees
Space group Pmmm (No. 47)
Inequivalent atoms, fractional coordinates:
Zn (0.000, 0.000, 0.000) (multiplicity 1)
In (0.500, 0.000, 0.500) (multiplicity 1)
Os (0.000, 0.500, 0.500) (multiplicity 1)
Os (0.500, 0.500, 0.000) (multiplicity 1)



(5)
The following is a DFT calculation (PBE-GGA) of a geometry-optimized ZnInOs2 structure.

Values from the calculation:
The total energy is -6.08 eV per atom.

Cell lengths 4.083, 4.083, 7.550 Å; angles 90.00, 90.00, 90.00 degrees
Space group I-4m2 (No. 119)
Inequivalent atoms, fractional coordinates:
Zn (0.000, 0.000, 0.000) (multiplicity 2)
In (0.000, 0.500, 0.750) (multiplicity 2)
Os (0.000, 0.000, 0.500) (multiplicity 2)
Os (0.000, 0.500, 0.250) (multiplicity 2)



(6)
The following is a DFT calculation (PBE-GGA) of a geometry-optimized ZnInOs2 structure.

Values from the calculation:
The total energy is -6.02 eV per atom.

Cell lengths 2.810, 4.960, 9.620 Å; angles 90.00, 90.00, 90.00 degrees
Space group Cmm2 (No. 35)
Inequivalent atoms, fractional coordinates:
Zn (0.000, 0.000, 0.000) (multiplicity 2)
In (0.000, 0.500, 0.278) (multiplicity 2)
Os (0.000, 0.000, 0.542) (multiplicity 2)
Os (0.000, 0.500, 0.767) (multiplicity 2)



(7)
The following is a DFT calculation (PBE-GGA) of a geometry-optimized Zn2InOs structure.

Values from the calculation:
The total energy is -3.80 eV per atom.

Cell lengths 2.938, 2.938, 8.117 Å; angles 90.00, 90.00, 90.00 degrees
Space group P4/mmm (No. 123)
Inequivalent atoms, fractional coordinates:
Zn (0.000, 0.000, 0.200) (multiplicity 2)
In (0.500, 0.500, 0.500) (multiplicity 1)
Os (0.500, 0.500, 0.000) (multiplicity 1)



(8)
The following is a DFT calculation (PBE-GGA) of a geometry-optimized Zn2InOs structure.

Values from the calculation:
The total energy is -3.63 eV per atom.

Cell lengths 3.948, 3.948, 18.662 Å; angles 90.00, 90.00, 90.00 degrees
Space group I-42d (No. 122)
Inequivalent atoms, fractional coordinates:
Zn (0.187, 0.250, 0.125) (multiplicity 8)
In (0.000, 0.000, 0.500) (multiplicity 4)
Os (0.000, 0.000, 0.000) (multiplicity 4)



(9)
The following is a DFT calculation (PBE-GGA) of a geometry-optimized ZnInOs structure.

Values from the calculation:
The total energy is -4.70 eV per atom. As for the energy above the most stable polymorph in this dataset: 10 kJ/mol of formula units.

Cell lengths 4.4109, 4.4109, 2.9978 Å; angles 90.00, 90.00, 120.00 degrees
Space group P-6m2 (No. 187)
Inequivalent atoms, fractional coordinates:
Zn (0.0000, 0.0000, 0.0000) (multiplicity 1)
In (0.6667, 0.3333, 0.5000) (multiplicity 1)
Os (0.3333, 0.6667, 0.0000) (multiplicity 1)



(10)
The following is a DFT calculation (PBE-GGA) of a geometry-optimized Zn2InOs structure.

Values from the calculation:
The total energy is -3.84 eV per atom.

Cell lengths 3.987, 3.987, 4.007 Å; angles 90.00, 90.00, 90.00 degrees
Space group P4/mmm (No. 123)
Inequivalent atoms, fractional coordinates:
Zn (0.000, 0.500, 0.000) (multiplicity 2)
In (0.000, 0.000, 0.500) (multiplicity 1)
Os (0.500, 0.500, 0.500) (multiplicity 1)



(11)
The following is a DFT calculation (PBE-GGA) of a geometry-optimized ZnIn4Os structure.

Values from the calculation:
The total energy is -3.02 eV per atom.

Cell lengths 8.102, 8.102, 8.102 Å; angles 90.00, 90.00, 90.00 degrees
Space group F-43m (No. 216)
Inequivalent atoms, fractional coordinates:
Zn (0.000, 0.000, 0.000) (multiplicity 4)
In (0.124, 0.124, 0.624) (multiplicity 16)
Os (0.250, 0.250, 0.250) (multiplicity 4)



(12)
The following is a DFT calculation (PBE-GGA) of a geometry-optimized ZnIn2Os structure.

Values from the calculation:
The total energy is -4.18 eV per atom.

Cell lengths 10.280, 3.213, 4.810 Å; angles 90.00, 112.99, 90.00 degrees
Space group Cm (No. 8)
Inequivalent atoms, fractional coordinates:
Zn (0.000, 0.000, 0.000) (multiplicity 2)
In (0.049, 0.500, 0.545) (multiplicity 2)
In (0.269, 0.500, 0.171) (multiplicity 2)
Os (0.293, 0.000, 0.667) (multiplicity 2)



(13)
The following is a DFT calculation (PBE-GGA) of a geometry-optimized ZnInOs2 structure.

Values from the calculation:
The total energy is -6.11 eV per atom.

Cell lengths 2.980, 4.522, 9.630 Å; angles 90.00, 90.00, 90.00 degrees
Space group Imm2 (No. 44)
Inequivalent atoms, fractional coordinates:
Zn (0.000, 0.000, 0.000) (multiplicity 2)
In (0.000, 0.500, 0.780) (multiplicity 2)
Os (0.000, 0.000, 0.537) (multiplicity 2)
Os (0.000, 0.500, 0.259) (multiplicity 2)



(14)
The following is a DFT calculation (PBE-GGA) of a geometry-optimized ZnIn2Os structure.

Values from the calculation:
The total energy is -4.06 eV per atom.

Cell lengths 10.102, 10.102, 4.931 Å; angles 90.00, 90.00, 90.00 degrees
Space group I4_1/amd (No. 141, origin choice 2)
Inequivalent atoms, fractional coordinates:
Zn (0.000, 0.250, 0.375) (multiplicity 4)
In (0.000, 0.000, 0.000) (multiplicity 8)
Os (0.000, 0.250, 0.875) (multiplicity 4)



(15)
The following is a DFT calculation (PBE-GGA) of a geometry-optimized Zn2InOs structure.

Values from the calculation:
The total energy is -3.84 eV per atom.

Cell lengths 3.118, 4.235, 5.297 Å; angles 90.00, 104.81, 90.00 degrees
Space group Pm (No. 6)
Inequivalent atoms, fractional coordinates:
Zn (0.000, 0.000, 0.000) (multiplicity 1)
Zn (0.429, 0.500, 0.838) (multiplicity 1)
In (0.719, 0.500, 0.366) (multiplicity 1)
Os (0.296, 0.000, 0.555) (multiplicity 1)



(16)
The following is a DFT calculation (PBE-GGA) of a geometry-optimized ZnInOs2 structure.

Values from the calculation:
The total energy is -5.62 eV per atom.

Cell lengths 7.321, 7.321, 5.149 Å; angles 90.00, 90.00, 90.00 degrees
Space group I-42d (No. 122)
Inequivalent atoms, fractional coordinates:
Zn (0.000, 0.000, 0.000) (multiplicity 4)
In (0.000, 0.000, 0.500) (multiplicity 4)
Os (0.226, 0.250, 0.125) (multiplicity 8)



(17)
The following is a DFT calculation (PBE-GGA) of a geometry-optimized Zn2InOs structure.

Values from the calculation:
The total energy is -3.78 eV per atom.

Cell lengths 2.863, 4.763, 4.882 Å; angles 90.00, 90.62, 90.00 degrees
Space group P2/m (No. 10)
Inequivalent atoms, fractional coordinates:
Zn (0.247, 0.000, 0.271) (multiplicity 2)
In (0.000, 0.500, 0.000) (multiplicity 1)
Os (0.500, 0.500, 0.500) (multiplicity 1)



(18)
The following is a DFT calculation (PBE-GGA) of a geometry-optimized ZnInOs2 structure.

Values from the calculation:
The total energy is -6.21 eV per atom.

Cell lengths 8.863, 2.866, 5.139 Å; angles 90.00, 100.83, 90.00 degrees
Space group C2/m (No. 12)
Inequivalent atoms, fractional coordinates:
Zn (0.000, 0.000, 0.000) (multiplicity 2)
In (0.000, 0.500, 0.500) (multiplicity 2)
Os (0.245, 0.500, 0.214) (multiplicity 4)



(19)
The following is a DFT calculation (PBE-GGA) of a geometry-optimized ZnIn2Os structure.

Values from the calculation:
The total energy is -3.94 eV per atom.

Cell lengths 3.207, 5.134, 9.392 Å; angles 90.00, 90.00, 90.00 degrees
Space group Cmmm (No. 65)
Inequivalent atoms, fractional coordinates:
Zn (0.000, 0.000, 0.000) (multiplicity 2)
In (0.000, 0.500, 0.262) (multiplicity 4)
Os (0.000, 0.000, 0.500) (multiplicity 2)



(20)
The following is a DFT calculation (PBE-GGA) of a geometry-optimized ZnInOs2 structure.

Values from the calculation:
The total energy is -6.01 eV per atom.

Cell lengths 2.926, 4.835, 9.032 Å; angles 90.00, 90.00, 90.00 degrees
Space group Cmmm (No. 65)
Inequivalent atoms, fractional coordinates:
Zn (0.000, 0.000, 0.000) (multiplicity 2)
In (0.000, 0.000, 0.500) (multiplicity 2)
Os (0.000, 0.500, 0.238) (multiplicity 4)



(21)
The following is a DFT calculation (PBE-GGA) of a geometry-optimized ZnInOs structure.

Values from the calculation:
The total energy is -4.51 eV per atom. As for the energy above the most stable polymorph in this dataset: 63 kJ/mol of formula units.

Cell lengths 3.059, 4.908, 13.885 Å; angles 90.00, 90.00, 90.00 degrees
Space group Fmm2 (No. 42)
Inequivalent atoms, fractional coordinates:
Zn (0.000, 0.000, 0.000) (multiplicity 4)
In (0.000, 0.000, 0.683) (multiplicity 4)
Os (0.000, 0.000, 0.351) (multiplicity 4)



(22)
The following is a DFT calculation (PBE-GGA) of a geometry-optimized ZnIn2Os structure.

Values from the calculation:
The total energy is -4.25 eV per atom.

Cell lengths 3.389, 4.274, 5.436 Å; angles 90.00, 108.02, 90.00 degrees
Space group Pm (No. 6)
Inequivalent atoms, fractional coordinates:
Zn (0.000, 0.000, 0.000) (multiplicity 1)
In (0.277, 0.000, 0.553) (multiplicity 1)
In (0.585, 0.500, 0.173) (multiplicity 1)
Os (0.859, 0.500, 0.719) (multiplicity 1)



(23)
The following is a DFT calculation (PBE-GGA) of a geometry-optimized ZnInOs2 structure.

Values from the calculation:
The total energy is -6.26 eV per atom.

Cell lengths 2.8796, 2.8796, 27.2449 Å; angles 90.00, 90.00, 120.00 degrees
Space group R3m (No. 160, hexagonal axes)
Inequivalent atoms, fractional coordinates:
Zn (0.0000, 0.0000, 0.0000) (multiplicity 3)
In (0.0000, 0.0000, 0.7572) (multiplicity 3)
Os (0.0000, 0.0000, 0.2539) (multiplicity 3)
Os (0.0000, 0.0000, 0.5135) (multiplicity 3)



(24)
The following is a DFT calculation (PBE-GGA) of a geometry-optimized Zn4InOs structure.

Values from the calculation:
The total energy is -2.95 eV per atom.

Cell lengths 7.119, 7.119, 7.119 Å; angles 90.00, 90.00, 90.00 degrees
Space group F-43m (No. 216)
Inequivalent atoms, fractional coordinates:
Zn (0.124, 0.124, 0.124) (multiplicity 16)
In (0.000, 0.000, 0.500) (multiplicity 4)
Os (0.250, 0.250, 0.750) (multiplicity 4)



(25)
The following is a DFT calculation (PBE-GGA) of a geometry-optimized Zn2InOs structure.

Values from the calculation:
The total energy is -3.80 eV per atom.

Cell lengths 2.9520, 2.9520, 26.7081 Å; angles 90.00, 90.00, 120.00 degrees
Space group R-3m (No. 166, hexagonal axes)
Inequivalent atoms, fractional coordinates:
Zn (0.0000, 0.0000, 0.2428) (multiplicity 6)
In (0.0000, 0.0000, 0.0000) (multiplicity 3)
Os (0.0000, 0.0000, 0.5000) (multiplicity 3)



(26)
The following is a DFT calculation (PBE-GGA) of a geometry-optimized Zn2InOs structure.

Values from the calculation:
The total energy is -3.92 eV per atom.

Cell lengths 9.987, 3.306, 4.353 Å; angles 90.00, 115.50, 90.00 degrees
Space group C2/m (No. 12)
Inequivalent atoms, fractional coordinates:
Zn (0.233, 0.000, 0.232) (multiplicity 4)
In (0.000, 0.000, 0.500) (multiplicity 2)
Os (0.000, 0.500, 0.000) (multiplicity 2)



(27)
The following is a DFT calculation (PBE-GGA) of a geometry-optimized Zn2InOs structure.

Values from the calculation:
The total energy is -3.86 eV per atom.

Cell lengths 3.395, 3.395, 5.656 Å; angles 90.00, 90.00, 90.00 degrees
Space group P4mm (No. 99)
Inequivalent atoms, fractional coordinates:
Zn (0.000, 0.000, 0.000) (multiplicity 1)
Zn (0.500, 0.500, 0.234) (multiplicity 1)
In (0.000, 0.000, 0.515) (multiplicity 1)
Os (0.500, 0.500, 0.773) (multiplicity 1)



(28)
The following is a DFT calculation (PBE-GGA) of a geometry-optimized ZnIn2Os structure.

Values from the calculation:
The total energy is -4.09 eV per atom.

Cell lengths 5.788, 7.747, 3.209 Å; angles 90.00, 90.00, 90.00 degrees
Space group Cmmm (No. 65)
Inequivalent atoms, fractional coordinates:
Zn (0.000, 0.000, 0.000) (multiplicity 2)
In (0.250, 0.250, 0.500) (multiplicity 4)
Os (0.000, 0.500, 0.000) (multiplicity 2)



(29)
The following is a DFT calculation (PBE-GGA) of a geometry-optimized Zn2InOs structure.

Values from the calculation:
The total energy is -3.86 eV per atom.

Cell lengths 3.395, 3.395, 5.680 Å; angles 90.00, 90.00, 90.00 degrees
Space group P4/mmm (No. 123)
Inequivalent atoms, fractional coordinates:
Zn (0.000, 0.000, 0.217) (multiplicity 2)
In (0.500, 0.500, 0.500) (multiplicity 1)
Os (0.500, 0.500, 0.000) (multiplicity 1)



(30)
The following is a DFT calculation (PBE-GGA) of a geometry-optimized ZnIn2Os structure.

Values from the calculation:
The total energy is -4.08 eV per atom.

Cell lengths 3.1228, 3.1228, 26.7770 Å; angles 90.00, 90.00, 120.00 degrees
Space group R-3m (No. 166, hexagonal axes)
Inequivalent atoms, fractional coordinates:
Zn (0.0000, 0.0000, 0.0000) (multiplicity 3)
In (0.0000, 0.0000, 0.2467) (multiplicity 6)
Os (0.0000, 0.0000, 0.5000) (multiplicity 3)